(1)
First-principles (PBE) data for a relaxed SrCoRe2 crystal, as listed in Alexandria.

Structure (extended XYZ):
```
4
Lattice="-0.253 -0.387 -3.108 2.216 -2.225 0.097 -5.300 -5.231 1.081" Properties=species:S:1:pos:R:3 pbc="T T T"
Co -3.354 -5.585 -0.621
Re -5.280 -5.212 1.078
Sr -2.691 -2.656 0.549
Re 0.040 -2.236 -1.313
```

- formation energy (kcal/mol of atoms) = 12.5
- symmetry = P4mm, No. 99


(2)
First-principles (PBE) data for a relaxed SrCoRe crystal, as listed in Alexandria.

Structure (extended XYZ):
```
6
Lattice="-7.083 1.564 2.980 -2.782 -4.013 1.037 3.699 -4.126 2.052" Properties=species:S:1:pos:R:3 pbc="T T T"
Co -6.086 -1.015 2.953
Sr -3.271 -1.998 1.425
Re -7.847 -2.736 3.313
Sr -4.691 -3.554 4.081
Re -2.027 -4.725 2.603
Co -0.084 -2.924 2.242
```

- formation energy (kcal/mol of atoms) = 8.9
- symmetry = Pm, No. 6